Entry 1:
{
  "formula": "EuSbPdPt",
  "functional": "PBE",
  "state": "relaxed",
  "total_magnetization_mub_per_atom": 1.712,
  "raw_formation_energy_ev_per_atom": -0.6327,
  "crystal_system": "cubic",
  "lattice": [[4.8960, 0.0000, 0.0000], [2.4480, 4.2400, 0.0000], [2.4480, 1.4133, 3.9975]],
  "species": ["Eu", "Pt", "Pd", "Sb"],
  "frac_coords": [[0.2500, 0.2500, 0.2500], [0.0000, 0.0000, 0.0000], [0.5000, 0.5000, 0.5000], [0.7500, 0.7500, 0.7500]]
}

=====

Entry 2:
{
  "formula": "EuScPdPt",
  "functional": "PBE",
  "state": "relaxed",
  "total_magnetization_mub_per_atom": 1.747,
  "e_form_ev_per_atom": -0.82,
  "crystal_system": "cubic",
  "lattice": [[4.8785, 0.0000, 0.0000], [2.4393, 4.2249, 0.0000], [2.4393, 1.4083, 3.9833]],
  "species": ["Pt", "Sc", "Pd", "Eu"],
  "frac_coords": [[0.2500, 0.2500, 0.2500], [0.5000, 0.5000, 0.5000], [0.7500, 0.7500, 0.7500], [0.0000, 0.0000, 0.0000]]
}

=====

Entry 3:
{
  "formula": "EuSnPdPt",
  "functional": "PBE",
  "state": "relaxed",
  "total_magnetization_mub_per_atom": 1.721,
  "e_form_ev_per_atom": -0.65,
  "crystal_system": "cubic",
  "lattice": [[-1.7550, 3.5990, -2.7993], [-4.5465, 1.6448, 0.7017], [-0.7246, 4.4416, 1.9014]],
  "species": ["Pt", "Sn", "Pd", "Eu"],
  "frac_coords": [[0.7500, 0.7500, 0.7500], [0.0000, 0.0000, 0.0000], [0.2500, 0.2500, 0.2500], [0.5000, 0.5000, 0.5000]]
}

=====

Entry 4:
{
  "formula": "SrEuPdPt",
  "functional": "PBE",
  "state": "relaxed",
  "total_magnetization_mub_per_atom": 1.712,
  "e_form_ev_per_atom": -0.71,
  "crystal_system": "cubic",
  "lattice": [[-0.1690, -4.4012, 2.7067], [4.3882, -2.2567, 1.5414], [1.2832, -0.0056, 5.0078]],
  "species": ["Sr", "Pt", "Eu", "Pd"],
  "frac_coords": [[0.5000, 0.5000, 0.5000], [0.7500, 0.7500, 0.7500], [0.0000, 0.0000, 0.0000], [0.2500, 0.2500, 0.2500]]
}

=====

Entry 5:
{
  "formula": "EuTlPdPt",
  "functional": "PBE",
  "state": "relaxed",
  "total_magnetization_mub_per_atom": 1.697,
  "e_form_ev_per_atom": -0.49,
  "crystal_system": "cubic",
  "lattice": [[4.9320, 0.0000, 0.0000], [2.4660, 4.2712, 0.0000], [2.4660, 1.4237, 4.0269]],
  "species": ["Eu", "Tl", "Pt", "Pd"],
  "frac_coords": [[0.0000, 0.0000, 0.0000], [0.5000, 0.5000, 0.5000], [0.7500, 0.7500, 0.7500], [0.2500, 0.2500, 0.2500]]
}

=====

Entry 6:
{
  "formula": "EuPuPd4",
  "functional": "PBE",
  "state": "relaxed",
  "total_magnetization_mub_per_atom": 0.241,
  "e_form_ev_per_atom": -0.57,
  "crystal_system": "cubic",
  "lattice": [[-1.1595, 5.3650, 0.3022], [-1.8815, 2.6591, -4.4281], [-5.2260, 1.6966, -0.1729]],
  "species": ["Pd", "Pd", "Pd", "Pd", "Eu", "Pu"],
  "frac_coords": [[0.6247, 0.6247, 0.6247], [0.6247, 0.1258, 0.6247], [0.6247, 0.6247, 0.1258], [0.1258, 0.6247, 0.6247], [0.0000, 0.0000, 0.0000], [0.2500, 0.2500, 0.2500]]
}

=====

Entry 7:
{
  "formula": "EuPu2Pd",
  "functional": "PBE",
  "state": "relaxed",
  "total_magnetization_mub_per_atom": 4.877,
  "polymorph_energy_mev_per_atom": 0.0,
  "e_form_ev_per_atom": -0.05,
  "crystal_system": "tetragonal",
  "lattice": [[-0.0658, 2.4971, -2.6880], [-3.5353, -0.7622, -0.6215], [-2.2021, 5.7867, 5.4296]],
  "species": ["Pu", "Pu", "Pd", "Eu"],
  "frac_coords": [[0.0000, 0.0000, 0.8095], [0.0000, 0.0000, 0.1905], [0.5000, 0.5000, 0.0000], [0.5000, 0.5000, 0.5000]]
}

=====

Entry 8:
{
  "formula": "EuPuPd2",
  "functional": "PBE",
  "state": "relaxed",
  "total_magnetization_mub_per_atom": 3.231,
  "polymorph_energy_mev_per_atom": 519.8,
  "e_form_ev_per_atom": 0.03,
  "crystal_system": "trigonal",
  "lattice": [[3.1987, 0.0000, 0.0000], [1.5993, 2.7701, 0.0000], [1.5993, 0.9234, 10.1850]],
  "species": ["Eu", "Pu", "Pd", "Pd"],
  "frac_coords": [[0.5000, 0.5000, 0.5000], [0.0000, 0.0000, 0.0000], [0.0868, 0.0868, 0.7396], [0.9132, 0.9132, 0.2604]]
}

=====

Entry 9:
{
  "formula": "EuPu2Pd",
  "functional": "PBE",
  "state": "relaxed",
  "total_magnetization_mub_per_atom": 1.212,
  "polymorph_energy_mev_per_atom": 165.1,
  "e_form_ev_per_atom": 0.11,
  "crystal_system": "cubic",
  "lattice": [[-4.6105, 2.0148, -0.8860], [-4.1144, -1.9010, 2.3576], [-2.3420, 2.7187, 3.6403]],
  "species": ["Pu", "Pu", "Pd", "Eu"],
  "frac_coords": [[0.2500, 0.2500, 0.2501], [0.7500, 0.7500, 0.7499], [0.0000, 0.0000, 0.0000], [0.5000, 0.5000, 0.5000]]
}

=====

Entry 10:
{
  "formula": "EuPuPd2",
  "functional": "PBE",
  "state": "relaxed",
  "total_magnetization_mub_per_atom": 0.342,
  "polymorph_energy_mev_per_atom": 0.0,
  "e_form_ev_per_atom": -0.49,
  "crystal_system": "tetragonal",
  "lattice": [[-1.3355, 2.0853, -2.4157], [-4.3773, -2.6509, 0.1318], [-1.7717, 3.1076, 3.6619]],
  "species": ["Eu", "Pd", "Pd", "Pu"],
  "frac_coords": [[0.5000, 0.0000, 0.0000], [0.0000, 0.5000, 0.0000], [0.0000, 0.0000, 0.5000], [0.5000, 0.5000, 0.5000]]
}

=====

Entry 11:
{
  "formula": "EuPuPd",
  "functional": "PBE",
  "state": "relaxed",
  "total_magnetization_mub_per_atom": 4.437,
  "e_form_ev_per_atom": -0.25,
  "crystal_system": "tetragonal",
  "lattice": [[-2.5473, 1.5915, 2.0002], [-2.1778, 0.1271, -2.8746], [0.0741, -6.3933, 1.9263]],
  "species": ["Pu", "Pd", "Eu"],
  "frac_coords": [[0.3022, 0.3022, 0.6043], [0.6767, 0.6767, 0.3533], [0.0212, 0.0212, 0.0424]]
}

=====

Entry 12:
{
  "formula": "EuPuPdRh",
  "functional": "PBE",
  "state": "relaxed",
  "total_magnetization_mub_per_atom": 0.460,
  "e_form_ev_per_atom": -0.40,
  "crystal_system": "cubic",
  "lattice": [[4.9705, 0.0000, 0.0000], [2.4853, 4.3046, 0.0000], [2.4853, 1.4349, 4.0584]],
  "species": ["Rh", "Pd", "Eu", "Pu"],
  "frac_coords": [[0.0000, 0.0000, 0.0000], [0.5000, 0.5000, 0.5000], [0.2500, 0.2500, 0.2500], [0.7500, 0.7500, 0.7500]]
}